# 1
This record from Alexandria via LeMat-Bulk describes Sr2CdAg5Pd2 after structural relaxation. The functional is GGA-PBE.

a b c (Å): 4.2844 10.1038 10.1038
angles (deg): 90.00 90.00 90.00
Fractional positions:
Sr1 0.0000 0.8256 0.6744
Sr2 0.0000 0.6744 0.1744
Sr3 0.0000 0.3256 0.8256
Sr4 0.0000 0.1744 0.3256
Ag1 0.5000 0.2028 0.0612
Ag2 0.5000 0.9388 0.2028
Ag3 0.5000 0.7028 0.4388
Ag4 0.5000 0.2972 0.5612
Ag5 0.5000 0.5612 0.7028
Ag6 0.5000 0.7972 0.9388
Ag7 0.5000 0.4388 0.2972
Ag8 0.5000 0.0000 0.5000
Ag9 0.5000 0.5000 0.0000
Ag10 0.5000 0.0612 0.7972
Pd1 0.0000 0.6237 0.8763
Pd2 0.0000 0.8763 0.3763
Pd3 0.0000 0.1237 0.6237
Pd4 0.0000 0.3763 0.1237
Cd1 0.0000 0.5000 0.5000
Cd2 0.0000 0.0000 0.0000

Properties
- Raw total energy: -3.17 eV/atom
- Magnetic moment: 0.0 μB/cell
- SG: P4/mbm
- DFT formation energy: -0.277 eV/atom
- V: 437 Å³ per cell
- N(E_F): 5.9 states/eV/cell

=====

# 2
This record from Alexandria via LeMat-Bulk describes SrCd2Ag2Pd after structural relaxation. The functional is GGA-PBE.

a b c (Å): 5.2186 5.2186 5.7272
angles (deg): 90.00 90.00 90.00
Fractional positions:
Ag1 0.5000 0.5000 0.7418
Ag2 0.5000 0.5000 0.2582
Sr1 0.0000 0.0000 0.5000
Cd1 0.5000 0.0000 0.0000
Cd2 0.0000 0.5000 0.0000
Pd1 0.0000 0.0000 0.0000

Properties
- Raw total energy: -2.56 eV/atom
- Magnetic moment: 0.0 μB/cell
- SG: P4/mmm
- DFT formation energy: -0.157 eV/atom
- V: 156 Å³ per cell
- N(E_F): 3.5 states/eV/cell

=====

# 3
This record from Alexandria via LeMat-Bulk describes Sr2CdAg6Pd after structural relaxation. The functional is GGA-PBE.

a b c (Å): 7.3349 7.3349 7.3349
angles (deg): 60.00 60.00 90.00
Fractional positions:
Cd1 0.5000 0.5000 0.0000
Ag1 0.2469 0.7531 0.0000
Ag2 0.7531 0.7531 0.4939
Ag3 0.7531 0.7531 0.0000
Ag4 0.2469 0.2469 0.0000
Ag5 0.2469 0.2469 0.5061
Ag6 0.7531 0.2469 0.0000
Sr1 0.7500 0.2500 0.5000
Sr2 0.2500 0.7500 0.5000
Pd1 0.0000 0.0000 0.0000

Properties
- Raw total energy: -2.59 eV/atom
- Magnetic moment: 0.0 μB/cell
- SG: Fm-3m
- DFT formation energy: 0.064 eV/atom
- V: 279 Å³ per cell
- N(E_F): 3.3 states/eV/cell

=====

# 4
This record from Alexandria via LeMat-Bulk describes Tb4CdAgPd2 after structural relaxation. The functional is GGA-PBE.

a b c (Å): 5.1059 5.1059 8.8412
angles (deg): 73.22 73.22 60.00
Fractional positions:
Tb1 0.8730 0.8730 0.3809
Tb2 0.6229 0.6229 0.1313
Tb3 0.1270 0.1270 0.6191
Tb4 0.3771 0.3771 0.8687
Pd1 0.7468 0.7468 0.7597
Pd2 0.2532 0.2532 0.2403
Ag1 0.5000 0.5000 0.5000
Cd1 0.0000 0.0000 0.0000

Properties
- Raw total energy: -4.65 eV/atom
- Magnetic moment: 0.0 μB/cell
- SG: R-3m
- DFT formation energy: -0.568 eV/atom
- V: 188 Å³ per cell
- N(E_F): 4.2 states/eV/cell